(1)
# PaAlFePt GGA-PBE relaxed
data_PaAlFePt
_chemical_formula_sum 'Pa4 Al4 Fe4 Pt4'
_cell_length_a 6.580
_cell_length_b 6.580
_cell_length_c 6.580
_cell_angle_alpha 90.00
_cell_angle_beta 90.00
_cell_angle_gamma 90.00
_space_group_name_H-M_alt 'F -4 3 m'
_space_group_IT_number 216
_space_group_name_Hall 'F -4 2 3'
loop_
_atom_site_label
_atom_site_type_symbol
_atom_site_fract_x
_atom_site_fract_y
_atom_site_fract_z
Pa1 Pa 0.000 0.000 0.000
Al1 Al 0.000 0.000 0.500
Fe1 Fe 0.250 0.250 0.750
Pt1 Pt 0.250 0.250 0.250
# Energy of formation ... -0.443 eV/atom

---

(2)
# PaAlFeSi2 GGA-PBE relaxed
data_PaAlFeSi2
_chemical_formula_sum 'Pa2 Al2 Fe2 Si4'
_cell_length_a 5.402
_cell_length_b 5.487
_cell_length_c 5.472
_cell_angle_alpha 90.00
_cell_angle_beta 90.00
_cell_angle_gamma 90.00
_space_group_name_H-M_alt 'P m m a'
_space_group_IT_number 51
loop_
_space_group_symop_operation_xyz
'x,y,z'
'-x,-y,-z'
'-x+1/2,-y,z'
'x+1/2,y,-z'
'x+1/2,-y,-z'
'-x+1/2,y,z'
'-x,y,-z'
'x,-y,z'
loop_
_atom_site_label
_atom_site_type_symbol
_atom_site_fract_x
_atom_site_fract_y
_atom_site_fract_z
Pa1 Pa 0.250 0.000 0.232
Al1 Al 0.250 0.500 0.364
Fe1 Fe 0.000 0.500 0.000
Si1 Si 0.250 0.242 0.745
# Formation energy without anion corrections ... -1.844 eV per formula unit

---

(3)
# PaAlFeTc GGA-PBE relaxed
data_PaAlFeTc
_chemical_formula_sum 'Pa4 Al4 Fe4 Tc4'
_cell_length_a 6.398
_cell_length_b 6.398
_cell_length_c 6.398
_cell_angle_alpha 90.00
_cell_angle_beta 90.00
_cell_angle_gamma 90.00
_space_group_name_H-M_alt 'F -4 3 m'
_space_group_IT_number 216
_space_group_name_Hall 'F -4 2 3'
loop_
_atom_site_label
_atom_site_type_symbol
_atom_site_fract_x
_atom_site_fract_y
_atom_site_fract_z
Pa1 Pa 0.000 0.000 0.000
Al1 Al 0.000 0.000 0.500
Fe1 Fe 0.250 0.250 0.750
Tc1 Tc 0.250 0.250 0.250
# Energy of formation ... -0.286 eV/atom

---

(4)
# PaAlVFe GGA-PBE relaxed
data_PaAlVFe
_chemical_formula_sum 'Pa4 Al4 V4 Fe4'
_cell_length_a 6.334
_cell_length_b 6.334
_cell_length_c 6.334
_cell_angle_alpha 90.00
_cell_angle_beta 90.00
_cell_angle_gamma 90.00
_space_group_name_H-M_alt 'F -4 3 m'
_space_group_IT_number 216
_space_group_name_Hall 'F -4 2 3'
loop_
_atom_site_label
_atom_site_type_symbol
_atom_site_fract_x
_atom_site_fract_y
_atom_site_fract_z
Pa1 Pa 0.000 0.000 0.000
Al1 Al 0.000 0.000 0.500
V1 V 0.250 0.250 0.750
Fe1 Fe 0.250 0.250 0.250
# Energy of formation ... -0.129 eV/atom

---

no.,magnetic moment (μB per formula unit)
1,1.34
2,0.00
3,0.00
4,1.69